A relaxed InTeOs2 crystal. Source: Alexandria, functional GGA-PBE.

abc: 10.5303 10.5303 10.5303
angles: 16.28 16.28 16.28
Closest atoms and distances in Å follow each position.
Fractional coordinates of all 4 atoms:
In (0.0000, 0.0000, 0.0000)  3 Os 2.96, 6 In 2.98
Te (0.2146, 0.2146, 0.2146)  3 Os 2.86, 6 Te 2.98
Os (0.4747, 0.4747, 0.4747)  3 Os 2.63, 3 Te 2.86
Os (0.7440, 0.7440, 0.7440)  3 Os 2.63

Results
The total energy comes out at -6.467 eV/atom. Its formation energy from raw total energies is 2.5 eV per formula unit. For the magnetization, the calculation gives 0.0 μB/f.u. The calculated density is 12.934 Mg/m³. For the relative energy among the computed polymorphs, the calculation gives 86 kJ/mol of formula units.